No. 1
The following is a PBE-GGA calculation of a geometry-optimized CsAgI2O structure, from the Alexandria database.

The structure in POSCAR format:
```
CsAgI2O
1.0
7.099 0.000 0.000
0.000 7.099 0.000
0.000 0.000 4.379
Cs Ag I O
1 1 2 1
Direct
0.000 0.000 0.000 Cs
0.500 0.500 0.500 Ag
0.000 0.500 0.000 I
0.500 0.000 0.000 I
0.000 0.000 0.500 O
```

ΔE to the lowest computed polymorph, eV per atom: 0.722
Formation energy (no corrections), eV/atom: 0.332
Space-group type: No. 123

No. 2
The following is a PBE-GGA calculation of a geometry-optimized CdAgRh2 structure, from the Alexandria database.

The structure in POSCAR format:
```
CdAgRh2
1.0
2.857 0.000 0.000
0.000 2.857 0.000
0.000 0.000 8.067
Cd Ag Rh
1 1 2
Direct
0.000 0.000 0.000 Cd
0.500 0.500 0.722 Ag
0.000 0.000 0.467 Rh
0.500 0.500 0.255 Rh
```

Formation energy, kJ/mol of atoms: 5.0
Space-group type: No. 99

No. 3
The following is a PBE-GGA calculation of a geometry-optimized NaGeI2N structure, from the Alexandria database.

The structure in POSCAR format:
```
NaGeI2N
1.0
5.878 0.000 0.000
0.000 5.878 0.000
0.000 0.000 4.403
Na Ge I N
1 1 2 1
Direct
0.000 0.000 0.000 Na
0.500 0.500 0.500 Ge
0.000 0.500 0.000 I
0.500 0.000 0.000 I
0.000 0.000 0.500 N
```

ΔE to the lowest computed polymorph, eV per atom: 0.795
Formation energy (no corrections), eV/atom: 0.863
Space-group type: No. 123